# AsSeBr2 meta-GGA SCAN PBEsol geometry
# calculated volume = 26.3 Å³ per atom
# energy = -78.20 eV per cell
# polymorph energy (0 for the lowest one) = 317 meV/atom
data_AsSeBr2
_chemical_formula_sum 'As1 Se1 Br2'
_symmetry_space_group_name_H-M 'P 1'
_symmetry_Int_Tables_number 1
_cell_length_a 3.511
_cell_length_b 4.425
_cell_length_c 7.331
_cell_angle_alpha 107.57
_cell_angle_beta 103.85
_cell_angle_gamma 90.00
loop_
_symmetry_equiv_pos_as_xyz
'x,y,z'
loop_
_atom_site_label
_atom_site_type_symbol
_atom_site_fract_x
_atom_site_fract_y
_atom_site_fract_z
As1 As 0.000 0.500 0.000
Se1 Se 0.500 0.000 0.000
Br1 Br 0.662 0.662 0.323
Br2 Br 0.338 0.338 0.677

---

# AsSeBr2 meta-GGA SCAN PBEsol geometry
# calculated volume = 24.6 Å³ per atom
# energy = -79.47 eV per cell
# polymorph energy (0 for the lowest one) = 0 meV/atom
data_AsSeBr2
_chemical_formula_sum 'As1 Se1 Br2'
_symmetry_space_group_name_H-M 'P 1'
_symmetry_Int_Tables_number 1
_cell_length_a 3.777
_cell_length_b 3.782
_cell_length_c 7.983
_cell_angle_alpha 94.15
_cell_angle_beta 90.00
_cell_angle_gamma 119.96
loop_
_symmetry_equiv_pos_as_xyz
'x,y,z'
loop_
_atom_site_label
_atom_site_type_symbol
_atom_site_fract_x
_atom_site_fract_y
_atom_site_fract_z
As1 As 0.774 0.547 0.274
Se1 Se 0.445 0.890 0.458
Br1 Br 0.050 0.101 0.041
Br2 Br 0.231 0.462 0.728

---

# SnAsSeBr2 meta-GGA SCAN PBEsol geometry
# calculated volume = 30.6 Å³ per atom
# energy = -112.95 eV per cell
# polymorph energy (0 for the lowest one) = 101 meV/atom
data_SnAsSeBr2
_chemical_formula_sum 'Sn1 As1 Se1 Br2'
_symmetry_space_group_name_H-M 'P 1'
_symmetry_Int_Tables_number 1
_cell_length_a 5.244
_cell_length_b 5.244
_cell_length_c 5.570
_cell_angle_alpha 90.00
_cell_angle_beta 90.00
_cell_angle_gamma 90.00
loop_
_symmetry_equiv_pos_as_xyz
'x,y,z'
loop_
_atom_site_label
_atom_site_type_symbol
_atom_site_fract_x
_atom_site_fract_y
_atom_site_fract_z
As1 As 0.000 0.000 0.500
Se1 Se 0.500 0.500 0.500
Sn1 Sn 0.000 0.000 0.000
Br1 Br 0.000 0.500 0.000
Br2 Br 0.500 0.000 0.000

---

# SnAsSeBr2 meta-GGA SCAN PBEsol geometry
# calculated volume = 31.1 Å³ per atom
# energy = -113.46 eV per cell
# polymorph energy (0 for the lowest one) = 0 meV/atom
data_SnAsSeBr2
_chemical_formula_sum 'Sn1 As1 Se1 Br2'
_symmetry_space_group_name_H-M 'P 1'
_symmetry_Int_Tables_number 1
_cell_length_a 5.353
_cell_length_b 5.353
_cell_length_c 5.420
_cell_angle_alpha 90.00
_cell_angle_beta 90.00
_cell_angle_gamma 90.00
loop_
_symmetry_equiv_pos_as_xyz
'x,y,z'
loop_
_atom_site_label
_atom_site_type_symbol
_atom_site_fract_x
_atom_site_fract_y
_atom_site_fract_z
As1 As 0.500 0.500 0.500
Se1 Se 0.000 0.000 0.500
Sn1 Sn 0.000 0.000 0.000
Br1 Br 0.000 0.500 0.000
Br2 Br 0.500 0.000 0.000

---

# SrAsSeBr2 meta-GGA SCAN PBEsol geometry
# calculated volume = 28.7 Å³ per atom
# energy = -105.96 eV per cell
data_SrAsSeBr2
_chemical_formula_sum 'Sr1 As1 Se1 Br2'
_symmetry_space_group_name_H-M 'P 1'
_symmetry_Int_Tables_number 1
_cell_length_a 5.275
_cell_length_b 5.275
_cell_length_c 5.161
_cell_angle_alpha 90.00
_cell_angle_beta 90.00
_cell_angle_gamma 90.00
loop_
_symmetry_equiv_pos_as_xyz
'x,y,z'
loop_
_atom_site_label
_atom_site_type_symbol
_atom_site_fract_x
_atom_site_fract_y
_atom_site_fract_z
Sr1 Sr 0.500 0.500 0.500
As1 As 0.000 0.000 0.000
Se1 Se 0.000 0.000 0.500
Br1 Br 0.000 0.500 0.000
Br2 Br 0.500 0.000 0.000

---

# TaAsSeBr2 meta-GGA SCAN PBEsol geometry
# calculated volume = 25.8 Å³ per atom
# energy = -140.49 eV per cell
# polymorph energy (0 for the lowest one) = 764 meV/atom
data_TaAsSeBr2
_chemical_formula_sum 'Ta1 As1 Se1 Br2'
_symmetry_space_group_name_H-M 'P 1'
_symmetry_Int_Tables_number 1
_cell_length_a 5.041
_cell_length_b 5.041
_cell_length_c 5.086
_cell_angle_alpha 90.00
_cell_angle_beta 90.00
_cell_angle_gamma 90.00
loop_
_symmetry_equiv_pos_as_xyz
'x,y,z'
loop_
_atom_site_label
_atom_site_type_symbol
_atom_site_fract_x
_atom_site_fract_y
_atom_site_fract_z
As1 As 0.000 0.000 0.000
Se1 Se 0.000 0.000 0.500
Br1 Br 0.000 0.500 0.000
Br2 Br 0.500 0.000 0.000
Ta1 Ta 0.500 0.500 0.500

---

# TaAsSeBr2 meta-GGA SCAN PBEsol geometry
# calculated volume = 24.8 Å³ per atom
# energy = -144.32 eV per cell
# polymorph energy (0 for the lowest one) = 0 meV/atom
data_TaAsSeBr2
_chemical_formula_sum 'Ta1 As1 Se1 Br2'
_symmetry_space_group_name_H-M 'P 1'
_symmetry_Int_Tables_number 1
_cell_length_a 4.868
_cell_length_b 4.868
_cell_length_c 5.237
_cell_angle_alpha 90.00
_cell_angle_beta 90.00
_cell_angle_gamma 90.00
loop_
_symmetry_equiv_pos_as_xyz
'x,y,z'
loop_
_atom_site_label
_atom_site_type_symbol
_atom_site_fract_x
_atom_site_fract_y
_atom_site_fract_z
As1 As 0.000 0.000 0.500
Se1 Se 0.500 0.500 0.500
Br1 Br 0.000 0.500 0.000
Br2 Br 0.500 0.000 0.000
Ta1 Ta 0.000 0.000 0.000

---

# TcAsSe2Br meta-GGA SCAN PBEsol geometry
# calculated volume = 22.3 Å³ per atom
# energy = -111.94 eV per cell
# polymorph energy (0 for the lowest one) = 0 meV/atom
data_TcAsSe2Br
_chemical_formula_sum 'Tc1 As1 Se2 Br1'
_symmetry_space_group_name_H-M 'P 1'
_symmetry_Int_Tables_number 1
_cell_length_a 4.748
_cell_length_b 4.748
_cell_length_c 4.953
_cell_angle_alpha 90.00
_cell_angle_beta 90.00
_cell_angle_gamma 90.00
loop_
_symmetry_equiv_pos_as_xyz
'x,y,z'
loop_
_atom_site_label
_atom_site_type_symbol
_atom_site_fract_x
_atom_site_fract_y
_atom_site_fract_z
As1 As 0.500 0.500 0.500
Se1 Se 0.000 0.500 0.000
Se2 Se 0.500 0.000 0.000
Tc1 Tc 0.000 0.000 0.000
Br1 Br 0.000 0.000 0.500

---

# TcAsSeBr2 meta-GGA SCAN PBEsol geometry
# calculated volume = 26.7 Å³ per atom
# energy = -108.95 eV per cell
# polymorph energy (0 for the lowest one) = 504 meV/atom
data_TcAsSeBr2
_chemical_formula_sum 'Tc1 As1 Se1 Br2'
_symmetry_space_group_name_H-M 'P 1'
_symmetry_Int_Tables_number 1
_cell_length_a 5.052
_cell_length_b 5.052
_cell_length_c 5.232
_cell_angle_alpha 90.00
_cell_angle_beta 90.00
_cell_angle_gamma 90.00
loop_
_symmetry_equiv_pos_as_xyz
'x,y,z'
loop_
_atom_site_label
_atom_site_type_symbol
_atom_site_fract_x
_atom_site_fract_y
_atom_site_fract_z
As1 As 0.000 0.000 0.500
Se1 Se 0.000 0.000 0.000
Tc1 Tc 0.500 0.500 0.500
Br1 Br 0.000 0.500 0.000
Br2 Br 0.500 0.000 0.000

---

# TcAsSe2Br meta-GGA SCAN PBEsol geometry
# calculated volume = 24.9 Å³ per atom
# energy = -107.36 eV per cell
# polymorph energy (0 for the lowest one) = 916 meV/atom
data_TcAsSe2Br
_chemical_formula_sum 'Tc1 As1 Se2 Br1'
_symmetry_space_group_name_H-M 'P 1'
_symmetry_Int_Tables_number 1
_cell_length_a 5.050
_cell_length_b 4.969
_cell_length_c 4.969
_cell_angle_alpha 90.00
_cell_angle_beta 90.00
_cell_angle_gamma 90.00
loop_
_symmetry_equiv_pos_as_xyz
'x,y,z'
loop_
_atom_site_label
_atom_site_type_symbol
_atom_site_fract_x
_atom_site_fract_y
_atom_site_fract_z
As1 As 0.500 0.000 0.000
Se1 Se 0.000 0.000 0.500
Se2 Se 0.000 0.500 0.000
Tc1 Tc 0.500 0.500 0.500
Br1 Br 0.000 0.000 0.000

---

# TcAsSeBr2 meta-GGA SCAN PBEsol geometry
# calculated volume = 23.0 Å³ per atom
# energy = -111.47 eV per cell
# polymorph energy (0 for the lowest one) = 0 meV/atom
data_TcAsSeBr2
_chemical_formula_sum 'Tc1 As1 Se1 Br2'
_symmetry_space_group_name_H-M 'P 1'
_symmetry_Int_Tables_number 1
_cell_length_a 4.732
_cell_length_b 4.928
_cell_length_c 4.928
_cell_angle_alpha 90.00
_cell_angle_beta 90.00
_cell_angle_gamma 90.00
loop_
_symmetry_equiv_pos_as_xyz
'x,y,z'
loop_
_atom_site_label
_atom_site_type_symbol
_atom_site_fract_x
_atom_site_fract_y
_atom_site_fract_z
As1 As 0.500 0.500 0.500
Se1 Se 0.500 0.000 0.000
Tc1 Tc 0.000 0.000 0.000
Br1 Br 0.000 0.000 0.500
Br2 Br 0.000 0.500 0.000

---

# TeAs2SeBr meta-GGA SCAN PBEsol geometry
# calculated volume = 29.7 Å³ per atom
# energy = -112.40 eV per cell
data_TeAs2SeBr
_chemical_formula_sum 'Te1 As2 Se1 Br1'
_symmetry_space_group_name_H-M 'P 1'
_symmetry_Int_Tables_number 1
_cell_length_a 5.222
_cell_length_b 5.329
_cell_length_c 5.329
_cell_angle_alpha 90.00
_cell_angle_beta 90.00
_cell_angle_gamma 90.00
loop_
_symmetry_equiv_pos_as_xyz
'x,y,z'
loop_
_atom_site_label
_atom_site_type_symbol
_atom_site_fract_x
_atom_site_fract_y
_atom_site_fract_z
As1 As 0.000 0.000 0.500
As2 As 0.000 0.500 0.000
Te1 Te 0.000 0.000 0.000
Se1 Se 0.500 0.500 0.500
Br1 Br 0.500 0.000 0.000

---

# TlAsSeBr2 meta-GGA SCAN PBEsol geometry
# calculated volume = 28.5 Å³ per atom
# energy = -153.20 eV per cell
# polymorph energy (0 for the lowest one) = 0 meV/atom
data_TlAsSeBr2
_chemical_formula_sum 'Tl1 As1 Se1 Br2'
_symmetry_space_group_name_H-M 'P 1'
_symmetry_Int_Tables_number 1
_cell_length_a 4.985
_cell_length_b 5.350
_cell_length_c 5.350
_cell_angle_alpha 90.00
_cell_angle_beta 90.00
_cell_angle_gamma 90.00
loop_
_symmetry_equiv_pos_as_xyz
'x,y,z'
loop_
_atom_site_label
_atom_site_type_symbol
_atom_site_fract_x
_atom_site_fract_y
_atom_site_fract_z
As1 As 0.000 0.000 0.000
Tl1 Tl 0.500 0.500 0.500
Se1 Se 0.500 0.000 0.000
Br1 Br 0.000 0.000 0.500
Br2 Br 0.000 0.500 0.000

---

# TlAsSeBr2 meta-GGA SCAN PBEsol geometry
# calculated volume = 29.4 Å³ per atom
# energy = -151.04 eV per cell
# polymorph energy (0 for the lowest one) = 431 meV/atom
data_TlAsSeBr2
_chemical_formula_sum 'Tl1 As1 Se1 Br2'
_symmetry_space_group_name_H-M 'P 1'
_symmetry_Int_Tables_number 1
_cell_length_a 5.020
_cell_length_b 5.415
_cell_length_c 5.415
_cell_angle_alpha 90.00
_cell_angle_beta 90.00
_cell_angle_gamma 90.00
loop_
_symmetry_equiv_pos_as_xyz
'x,y,z'
loop_
_atom_site_label
_atom_site_type_symbol
_atom_site_fract_x
_atom_site_fract_y
_atom_site_fract_z
As1 As 0.500 0.000 0.000
Tl1 Tl 0.500 0.500 0.500
Se1 Se 0.000 0.000 0.000
Br1 Br 0.000 0.000 0.500
Br2 Br 0.000 0.500 0.000

---

# YAs2SeBr meta-GGA SCAN PBEsol geometry
# calculated volume = 24.8 Å³ per atom
# energy = -106.29 eV per cell
# polymorph energy (0 for the lowest one) = 304 meV/atom
data_YAs2SeBr
_chemical_formula_sum 'Y1 As2 Se1 Br1'
_symmetry_space_group_name_H-M 'P 1'
_symmetry_Int_Tables_number 1
_cell_length_a 4.999
_cell_length_b 4.999
_cell_length_c 4.966
_cell_angle_alpha 90.00
_cell_angle_beta 90.00
_cell_angle_gamma 90.00
loop_
_symmetry_equiv_pos_as_xyz
'x,y,z'
loop_
_atom_site_label
_atom_site_type_symbol
_atom_site_fract_x
_atom_site_fract_y
_atom_site_fract_z
Y1 Y 0.500 0.500 0.500
As1 As 0.000 0.500 0.000
As2 As 0.500 0.000 0.000
Se1 Se 0.000 0.000 0.500
Br1 Br 0.000 0.000 0.000

---

no.,magnetic moment (μB per formula unit),DOS(E_F) (states/eV/atom),mass density (Mg/m³)
1,0.00,0.486,4.955
2,0.00,0.255,5.289
3,0.04,0.425,4.688
4,1.91,0.440,4.622
5,0.00,0.355,4.640
6,3.55,1.068,6.357
7,0.00,0.782,6.618
8,0.00,0.748,6.110
9,4.86,0.418,5.119
10,3.89,0.708,5.471
11,0.29,0.678,5.948
12,0.68,0.651,4.885
13,0.00,0.112,6.029
14,0.00,0.501,5.845
15,0.00,0.678,5.319